This record from the Alexandria database describes crystalline Y5HoTl3 at its relaxed geometry. The functional is PBE-GGA.

```
data_Y5HoTl3
_cell_length_a 9.3762
_cell_length_b 9.3762
_cell_length_c 6.7495
_cell_angle_alpha 90.00
_cell_angle_beta 90.00
_cell_angle_gamma 120.00
_symmetry_space_group_name_H-M 'P 63/m c m'
_symmetry_Int_Tables_number 193
_symmetry_space_group_name_Hall '-P 6c 2'
loop_
_atom_site_label
_atom_site_type_symbol
_atom_site_fract_x
_atom_site_fract_y
_atom_site_fract_z
Y1 Y 0.0000 0.3304 0.2500
Y2 Y 0.3333 0.6667 0.0000
Ho1 Ho 0.0000 0.0000 0.0000
Tl1 Tl 0.0000 0.3360 0.7500
```

Summary:
Mass density ... 7.90 Mg/m³
Density of states at the Fermi level ... 10.410 states/eV/f.u.
Calculated volume ... 28.6 A^3/atom
Energy ... -5.180 eV per atom